# 1
First-principles (PBE) data for an optimized crystal structure of CsAs2F6, as listed in the Alexandria database.

Properties
E = -0.32905 Ry per atom
total moment = 1.0 μB/f.u.
ΔE_f (raw) = -48.46 kcal/mol of atoms

Geometry as CIF:
```
data_CsAs2F6
_space_group_name_H-M_alt 'C 1 2/c 1'
_space_group_IT_number 15
_cell_length_a 9.918
_cell_length_b 16.217
_cell_length_c 5.182
_cell_angle_alpha 90.00
_cell_angle_beta 97.32
_cell_angle_gamma 90.00
loop_
_space_group_symop_operation_xyz
'x,y,z'
'-x,-y,-z'
'-x,y,-z+1/2'
'x,-y,z+1/2'
'x+1/2,y+1/2,z'
'-x+1/2,-y+1/2,-z'
'-x+1/2,y+1/2,-z+1/2'
'x+1/2,-y+1/2,z+1/2'
loop_
_atom_site_label
_atom_site_fract_x
_atom_site_fract_y
_atom_site_fract_z
_atom_site_occupancy
Cs1 0.000 0.123 0.250 1
As1 0.144 0.396 0.188 1
F1 0.157 0.287 0.242 1
F2 0.163 0.099 0.791 1
F3 0.172 0.428 0.529 1
```

# 2
First-principles (PBE) data for an optimized crystal structure of PuCl4, as listed in the Alexandria database.

Properties
E = -0.43913 Ry per atom
total moment = 4.0 μB/f.u.
ΔE_f (raw) = -37.61 kcal/mol of atoms
DOS at the Fermi energy = 34.4 states/eV/cell

Geometry as CIF:
```
data_PuCl4
_space_group_name_H-M_alt 'C 1 2/c 1'
_space_group_IT_number 15
_cell_length_a 7.678
_cell_length_b 15.462
_cell_length_c 7.054
_cell_angle_alpha 90.00
_cell_angle_beta 116.86
_cell_angle_gamma 90.00
loop_
_space_group_symop_operation_xyz
'x,y,z'
'-x,-y,-z'
'-x,y,-z+1/2'
'x,-y,z+1/2'
'x+1/2,y+1/2,z'
'-x+1/2,-y+1/2,-z'
'-x+1/2,y+1/2,-z+1/2'
'x+1/2,-y+1/2,z+1/2'
loop_
_atom_site_label
_atom_site_fract_x
_atom_site_fract_y
_atom_site_fract_z
_atom_site_occupancy
Pu1 0.000 0.070 0.250 1
Cl1 0.206 0.054 0.674 1
Cl2 0.225 0.180 0.230 1
```

# 3
First-principles (PBE) data for an optimized crystal structure of TaHgPt2, as listed in the Alexandria database.

Properties
E = -0.45731 Ry per atom
total moment = 0.0 μB/f.u.
DOS at the Fermi energy = 5.1 states/eV/cell

Geometry as CIF:
```
data_TaHgPt2
_space_group_name_H-M_alt 'I -4 m 2'
_space_group_IT_number 119
_space_group_name_Hall 'I -4 -2'
_cell_length_a 4.086
_cell_length_b 4.086
_cell_length_c 8.230
_cell_angle_alpha 90.00
_cell_angle_beta 90.00
_cell_angle_gamma 90.00
loop_
_atom_site_label
_atom_site_fract_x
_atom_site_fract_y
_atom_site_fract_z
_atom_site_occupancy
Ta1 0.000 0.000 0.000 1
Hg1 0.000 0.500 0.250 1
Pt1 0.000 0.000 0.500 1
Pt2 0.000 0.500 0.750 1
```

# 4
First-principles (PBE) data for an optimized crystal structure of Zr2FeP, as listed in the Alexandria database.

Properties
E = -0.59317 Ry per atom
total moment = 1.2 μB/f.u.
DOS at the Fermi energy = 5.0 states/eV/cell

Geometry as CIF:
```
data_Zr2FeP
_space_group_name_H-M_alt 'P 4 m m'
_space_group_IT_number 99
_cell_length_a 3.007
_cell_length_b 3.007
_cell_length_c 7.430
_cell_angle_alpha 90.00
_cell_angle_beta 90.00
_cell_angle_gamma 90.00
loop_
_space_group_symop_operation_xyz
'x,y,z'
'-y,x,z'
'-x,-y,z'
'y,-x,z'
'-x,y,z'
'y,x,z'
'x,-y,z'
'-y,-x,z'
loop_
_atom_site_label
_atom_site_fract_x
_atom_site_fract_y
_atom_site_fract_z
_atom_site_occupancy
Zr1 0.000 0.000 0.000 1
Zr2 0.500 0.500 0.352 1
Fe1 0.000 0.000 0.613 1
P1 0.500 0.500 0.744 1
```